Density functional theory data (PBE with a Hubbard U) for a relaxed structure of KNiNF2.

Cell lengths 4.8496, 4.8496, 4.9281 Å; angles 90.00, 90.00, 90.00 degrees
Sites, in units of the cell vectors:
Ni1 0.5000 0.5000 0.5000
K1 0.0000 0.0000 0.0000
N1 0.0000 0.0000 0.5000
F1 0.0000 0.5000 0.0000
F2 0.5000 0.0000 0.0000

Calculated values
- symmetry = No. 123
- magnetic moment (μB/atom) = 0.81
- E above lowest polymorph (meV per atom) = 1420